16
Lattice="7.421 0.000 0.000 0.000 8.396 0.000 0.000 0.000 7.073" Properties=species:S:1:pos:R:3 comment="PdSe2I | the Alexandria database | PBE | relaxed" spacegroup="Pna2_1, No. 33" total_energy_ev_per_atom=-3.3906 total_magnetization_mub_per_cell=0.0 e_above_lowest_polymorph_ev_per_fu=0.897 pbc="T T T"
I 1.351 3.482 0.801
I 6.070 4.914 4.337
I 2.359 7.679 4.337
I 5.061 0.716 0.801
Se 2.363 6.117 0.649
Se 5.057 2.278 4.185
Se 1.347 1.920 4.185
Se 6.074 6.476 0.649
Se 6.229 7.726 4.624
Se 1.192 0.670 1.088
Se 4.902 3.528 1.088
Se 2.518 4.868 4.624
Pd 0.593 7.215 6.302
Pd 6.828 1.181 2.766
Pd 3.118 3.017 2.766
Pd 4.303 5.378 6.302